(1)
Material: FeCu2Mo
Method: DFT, PBE
State: relaxed

Cell lengths 2.5967, 2.5967, 7.7280 Å; angles 90.00, 90.00, 90.00 degrees
Atoms (fractional coordinates):
Fe 0.0000 0.0000 0.0000
Cu 0.5000 0.5000 0.2339
Cu 0.5000 0.5000 0.7661
Mo 0.0000 0.0000 0.5000

Computed properties:
* energy of formation: 0.214 eV/atom
* E_tot: -6.66 eV/atom
* SG: P4/mmm
* polymorph energy (0 for the lowest one): 59 meV per atom
* M_tot: 2.8 μB per cell

=====

(2)
Material: Mg2ZnW
Method: DFT, PBE
State: relaxed

Cell lengths 2.7884, 2.7884, 8.9422 Å; angles 90.00, 90.00, 90.00 degrees
Atoms (fractional coordinates):
Mg 0.0000 0.0000 0.2478
Mg 0.0000 0.0000 0.7522
Zn 0.5000 0.5000 0.5000
W 0.5000 0.5000 0.0000

Computed properties:
* energy of formation: 0.214 eV/atom
* E_tot: -4.14 eV/atom
* SG: P4/mmm
* M_tot: 0.0 μB per cell

=====

(3)
Material: Mg2Sc
Method: DFT, PBE
State: relaxed

Cell lengths 5.8333, 5.8333, 5.8333 Å; angles 60.00, 60.00, 60.00 degrees
Atoms (fractional coordinates):
Mg 0.0000 0.0000 0.0000
Mg 0.0000 0.0000 0.5000
Mg 0.0000 0.5000 0.0000
Mg 0.5000 0.0000 0.0000
Sc 0.3750 0.3750 0.3750
Sc 0.6250 0.6250 0.6250

Computed properties:
* energy of formation: 0.017 eV/atom
* E_tot: -3.16 eV/atom
* SG: Fd-3m
* M_tot: 0.3 μB per cell

=====

(4)
Material: SrCoSb2
Method: DFT, PBE
State: relaxed

Cell lengths 3.3206, 3.3206, 9.3075 Å; angles 90.00, 90.00, 90.00 degrees
Atoms (fractional coordinates):
Sr 0.0000 0.0000 0.0000
Co 0.5000 0.5000 0.2443
Sb 0.0000 0.0000 0.3701
Sb 0.5000 0.5000 0.7219

Computed properties:
* E_tot: -4.26 eV/atom
* SG: P4mm
* E_form (uncorrected): 0.001 eV/atom
* M_tot: 0.5 μB per cell

=====

(5)
Material: Zn2TcAg
Method: DFT, PBE
State: relaxed

Cell lengths 5.8075, 7.6390, 2.7223 Å; angles 90.00, 90.27, 90.00 degrees
Atoms (fractional coordinates):
Zn 0.2500 0.2500 0.0000
Zn 0.2500 0.7500 0.0000
Zn 0.7500 0.2500 0.0000
Zn 0.7500 0.7500 0.0000
Tc 0.0000 0.0000 0.5000
Tc 0.5000 0.5000 0.5000
Ag 0.0000 0.5000 0.5000
Ag 0.5000 0.0000 0.5000

Computed properties:
* energy of formation: 0.110 eV/atom
* E_tot: -3.83 eV/atom
* SG: C2/m
* polymorph energy (0 for the lowest one): 44 meV per atom
* M_tot: 0.0 μB per cell

=====

(6)
Material: OsPt3
Method: DFT, PBE
State: relaxed

Cell lengths 8.9598, 8.9598, 2.6923 Å; angles 90.00, 90.00, 120.00 degrees
Atoms (fractional coordinates):
Os 0.0000 0.0000 0.0000
Os 0.3333 0.6667 0.6667
Os 0.6667 0.3333 0.3333
Pt 0.0000 0.5000 0.0000
Pt 0.1667 0.3333 0.3333
Pt 0.1667 0.8333 0.3333
Pt 0.3333 0.1667 0.6667
Pt 0.5000 0.0000 0.0000
Pt 0.5000 0.5000 0.0000
Pt 0.6667 0.8333 0.3333
Pt 0.8333 0.1667 0.6667
Pt 0.8333 0.6667 0.6667

Computed properties:
* energy of formation: 0.395 eV/atom
* E_tot: -6.94 eV/atom
* SG: R-3m
* M_tot: 0.0 μB per cell

=====

Copy entry 4 word for word.
Material: SrCoSb2
Method: DFT, PBE
State: relaxed

Cell lengths 3.3206, 3.3206, 9.3075 Å; angles 90.00, 90.00, 90.00 degrees
Atoms (fractional coordinates):
Sr 0.0000 0.0000 0.0000
Co 0.5000 0.5000 0.2443
Sb 0.0000 0.0000 0.3701
Sb 0.5000 0.5000 0.7219

Computed properties:
* E_tot: -4.26 eV/atom
* SG: P4mm
* E_form (uncorrected): 0.001 eV/atom
* M_tot: 0.5 μB per cell